(1)
KAcPAu | Alexandria | PBE | relaxed; formation energy = -662 meV/atom; total DFT energy (no corrections) = -4.14 eV per atom
1.0
-2.114 -2.664 4.174
1.496 -5.076 0.990
3.042 -1.120 4.298
K Au P Ac
1 1 1 1
Cartesian
1.817 -6.645 7.097 K
1.212 -4.430 4.731 Au
0.000 0.000 0.000 P
0.606 -2.215 2.366 Ac

***

(2)
AgHgPd2 | Alexandria | PBE | relaxed; formation energy = 177 meV/atom; DOS(E_F) = 0.520 states/eV per atom; E above lowest polymorph = 0.3101 eV/atom; total DFT energy (no corrections) = -3.21 eV per atom
1.0
7.423 0.000 0.000
0.000 7.423 0.000
3.712 3.712 2.779
Hg Pd Ag
2 4 2
Cartesian
7.423 3.712 1.390 Hg
0.000 0.000 0.000 Hg
5.567 5.570 2.084 Pd
1.858 5.567 0.695 Pd
9.279 9.277 2.084 Pd
5.565 1.856 0.695 Pd
3.712 7.423 1.390 Ag
3.712 3.712 0.000 Ag

***

(3)
SrSc2W | Alexandria | PBE | relaxed; formation energy = 556 meV/atom; DOS(E_F) = 0.711 states/eV per atom; E above lowest polymorph = 0.1933 eV/atom; total DFT energy (no corrections) = -6.27 eV per atom
1.0
-3.239 -2.838 2.524
-0.525 -1.710 -2.595
4.711 -5.006 0.417
W Sr Sc
1 1 2
Cartesian
1.763 -7.062 -0.743 W
2.214 -3.596 -1.202 Sr
4.198 -6.320 -1.719 Sc
-0.947 -2.648 0.743 Sc

***

(4)
Sm12Zn5Se3 | Alexandria | PBE | relaxed; DOS(E_F) = 1.258 states/eV per atom; ΔE_f (raw) = -3.449 eV per formula unit; total DFT energy (no corrections) = -3.85 eV per atom
1.0
-7.810 -3.371 12.121
5.638 -12.385 -5.842
11.017 9.206 3.628
Sm Zn Se
48 20 12
Cartesian
3.577 -5.995 4.854 Sm
5.835 1.672 10.837 Sm
8.544 -8.284 -2.981 Sm
13.153 -2.949 1.776 Sm
-0.246 -2.263 10.502 Sm
7.101 4.982 4.147 Sm
8.364 -1.739 1.739 Sm
0.301 1.735 12.888 Sm
-2.252 -5.164 10.375 Sm
0.481 -4.811 8.169 Sm
-0.456 -8.141 5.906 Sm
9.091 -4.287 -0.594 Sm
0.673 1.009 5.974 Sm
7.681 2.490 8.075 Sm
2.005 -1.814 4.574 Sm
9.599 7.154 5.008 Sm
8.171 -7.559 3.934 Sm
9.300 1.591 4.001 Sm
6.152 -6.192 9.044 Sm
4.913 -8.867 3.564 Sm
1.744 -11.532 5.760 Sm
-4.309 -3.601 8.132 Sm
3.719 -2.458 7.592 Sm
1.164 -9.040 1.833 Sm
-2.235 -0.744 8.170 Sm
5.974 -10.363 -3.862 Sm
6.840 -4.736 5.334 Sm
-1.602 -3.354 5.879 Sm
3.010 -8.221 -0.929 Sm
-2.274 -8.852 8.715 Sm
0.446 -5.618 2.322 Sm
5.126 -4.092 2.316 Sm
2.193 -4.813 -0.507 Sm
-0.755 -13.704 4.899 Sm
11.119 2.303 1.193 Sm
2.481 0.428 8.950 Sm
5.257 1.770 1.636 Sm
5.268 -0.555 5.053 Sm
6.651 -1.737 10.415 Sm
11.097 -1.385 -0.467 Sm
2.871 3.813 13.769 Sm
11.080 -5.806 1.738 Sm
8.398 -0.931 7.586 Sm
3.587 -8.319 8.272 Sm
6.364 -6.978 0.958 Sm
3.931 2.317 6.344 Sm
2.692 -0.358 0.864 Sm
10.447 -3.195 4.029 Sm
1.461 -0.292 11.413 Zn
2.806 -10.642 3.371 Zn
4.487 3.979 11.536 Zn
-3.905 -1.686 6.061 Zn
-0.142 -3.210 3.539 Zn
3.892 -2.764 0.231 Zn
5.509 4.603 1.814 Zn
2.819 -6.192 -2.921 Zn
8.327 -1.589 -1.107 Zn
-1.086 -7.878 3.140 Zn
4.952 -3.786 9.676 Zn
6.039 4.092 6.537 Zn
7.383 -6.258 -1.506 Zn
1.603 2.917 7.875 Zn
8.987 -3.340 6.369 Zn
7.047 0.267 3.107 Zn
1.797 -6.816 6.800 Zn
4.422 -3.275 4.954 Zn
4.358 -10.528 -1.628 Zn
0.000 0.000 0.000 Zn
11.211 -0.528 2.554 Se
10.073 4.538 3.230 Se
-3.375 -2.196 10.783 Se
2.884 1.061 3.661 Se
-1.228 -11.087 6.678 Se
12.220 -4.353 -0.875 Se
3.349 -6.703 1.801 Se
8.185 -4.799 2.432 Se
-2.366 -6.022 7.354 Se
5.961 -7.611 6.247 Se
5.496 0.153 8.106 Se
0.659 -1.751 7.476 Se

***

(5)
CeMo2C | Alexandria | PBE | relaxed; formation energy = 287 meV/atom; DOS(E_F) = 1.018 states/eV per atom; total DFT energy (no corrections) = -8.92 eV per atom
1.0
3.082 0.000 0.000
1.541 2.669 0.000
1.541 0.890 7.828
Ce Mo C
1 2 1
Cartesian
0.000 0.000 0.000 Ce
4.622 2.669 2.743 Mo
1.541 0.890 5.085 Mo
3.082 1.779 3.914 C

***

(6)
NpCrRh2 | Alexandria | PBE | relaxed; formation energy = -187 meV/atom; DOS(E_F) = 1.299 states/eV per atom; total DFT energy (no corrections) = -9.50 eV per atom
1.0
3.866 0.000 0.000
0.000 4.097 0.000
0.000 0.000 4.097
Rh Np Cr
2 1 1
Cartesian
0.000 2.049 0.000 Rh
0.000 0.000 2.049 Rh
1.933 0.000 0.000 Np
1.933 2.049 2.049 Cr

***

(7)
TlCr2Cu | Alexandria | PBE | relaxed; formation energy = 624 meV/atom; DOS(E_F) = 0.957 states/eV per atom; total DFT energy (no corrections) = -5.80 eV per atom
1.0
-1.223 -3.204 1.899
2.372 -1.441 -0.904
5.014 0.150 3.482
Tl Cr Cu
1 2 1
Cartesian
4.928 -2.570 2.883 Tl
3.515 -0.759 0.982 Cr
2.551 -1.327 -0.597 Cr
1.235 -1.925 1.594 Cu

***

(8)
Tl2Cd | Alexandria | PBE | relaxed; formation energy = 167 meV/atom; DOS(E_F) = 0.988 states/eV per atom; E above lowest polymorph = 0.1364 eV/atom; total DFT energy (no corrections) = -1.72 eV per atom
1.0
-0.722 -5.348 4.960
7.170 -1.436 -0.505
1.341 4.803 5.372
Tl Cd
8 4
Cartesian
4.604 -0.977 1.034 Tl
0.847 -1.533 2.468 Tl
4.563 -2.507 4.794 Tl
6.983 1.082 3.600 Tl
6.941 -0.448 7.360 Tl
3.184 -1.004 8.794 Tl
3.226 0.526 5.034 Tl
0.806 -3.063 6.228 Tl
0.000 0.000 0.000 Cd
3.224 -3.392 2.228 Cd
4.255 1.683 2.434 Cd
0.309 -0.273 5.166 Cd

***

(9)
Nd2Hg13 | Alexandria | PBE | relaxed; formation energy = -119 meV/atom; DOS(E_F) = 0.460 states/eV per atom; total DFT energy (no corrections) = -1.02 eV per atom
1.0
-6.095 2.610 -5.043
-3.695 -5.366 -5.191
-7.975 -2.427 1.502
Hg Nd
13 2
Cartesian
-9.594 -2.739 -7.980 Hg
-10.534 -5.875 -4.069 Hg
-8.006 -5.032 -2.468 Hg
-9.759 -0.153 -6.264 Hg
-7.232 0.690 -4.663 Hg
-11.745 -3.431 -5.561 Hg
-5.698 -4.407 -4.757 Hg
-12.067 -0.777 -3.975 Hg
-9.478 -0.140 -2.377 Hg
-6.021 -1.753 -3.171 Hg
-8.287 -5.045 -6.354 Hg
-8.172 -2.445 -0.752 Hg
-8.883 -2.592 -4.366 Hg
-10.976 -3.262 -2.183 Nd
-6.789 -1.922 -6.549 Nd

***

(10)
Ce2UBi5 | Alexandria | PBE | relaxed; formation energy = -331 meV/atom; DOS(E_F) = 1.927 states/eV per atom; total DFT energy (no corrections) = -5.65 eV per atom
1.0
4.831 0.000 0.000
0.000 6.850 0.000
0.000 0.000 14.877
Bi Ce U
10 4 2
Cartesian
2.415 5.350 13.347 Bi
0.000 0.205 11.485 Bi
2.415 1.925 8.969 Bi
0.000 3.630 10.831 Bi
4.831 0.000 7.439 Bi
2.415 1.500 1.530 Bi
2.415 4.926 5.909 Bi
4.831 3.220 4.046 Bi
4.831 3.425 0.000 Bi
4.831 6.646 3.393 Bi
2.415 4.739 2.246 Ce
2.415 1.314 5.193 Ce
2.415 2.111 12.632 Ce
2.415 5.537 9.684 Ce
0.000 3.425 7.439 U
0.000 0.000 0.000 U

***

(11)
CrSb2RuPt | Alexandria | PBE | relaxed; DOS(E_F) = 1.144 states/eV per atom; ΔE_f (raw) = 4.365 eV per formula unit; total DFT energy (no corrections) = -5.76 eV per atom
1.0
-4.414 -1.209 1.699
1.865 -2.704 2.922
0.241 3.655 3.228
Pt Cr Sb Ru
1 1 2 1
Cartesian
-1.154 -0.129 3.925 Pt
0.000 0.000 0.000 Cr
0.121 1.827 1.614 Sb
-2.207 -0.604 0.850 Sb
0.933 -1.352 1.461 Ru

***

(12)
Tb2CeY8 | Alexandria | PBE | relaxed; formation energy = 43 meV/atom; DOS(E_F) = 1.700 states/eV per atom; E above lowest polymorph = 0.0000 eV/atom; total DFT energy (no corrections) = -6.04 eV per atom
1.0
4.883 0.000 -1.300
-0.524 7.722 -1.966
-0.096 -0.072 9.456
Tb Ce Y
2 1 8
Cartesian
0.738 4.877 2.771 Tb
3.525 2.773 3.418 Tb
2.441 0.000 -0.650 Ce
2.813 6.987 0.745 Y
4.434 2.013 6.833 Y
0.544 1.382 2.042 Y
1.450 0.663 5.445 Y
3.719 6.267 4.148 Y
2.630 3.491 0.059 Y
1.633 4.158 6.131 Y
-0.171 5.637 -0.643 Y

***

no.,total moment (μB/f.u.)
1,0.0
2,0.0
3,0.0
4,0.0
5,0.0
6,0.8
7,0.0
8,0.0
9,0.0
10,5.1
11,0.0
12,1.2